Computed, not measured: AlTc2 after structural relaxation at the PBE-GGA level of DFT.

Cell: 5.4558 5.4558 6.0079 Å, 104.76 104.76 30.39°
Last column: nearest neighbours and their distance in Å.
Positions (direct):
Al 0.1447 0.1447 0.0441  7 Tc 2.66-2.75, 5 Al 2.80-2.95
Al 0.8553 0.8553 0.9559  7 Tc 2.66-2.75, 5 Al 2.80-2.95
Tc 0.1865 0.1865 0.6236  8 Tc 2.64-2.86, 3 Al 2.68-2.70
Tc 0.4763 0.4763 0.6989  7 Tc 2.57-2.86, 4 Al 2.66-2.75
Tc 0.5237 0.5237 0.3011  7 Tc 2.57-2.86, 4 Al 2.66-2.75
Tc 0.8135 0.8135 0.3764  8 Tc 2.64-2.86, 3 Al 2.68-2.70

Summary:
Calculated formation energy   -0.243 eV/atom
Calculated total energy   -8.401 eV per atom
Space group   C2/m
Volume   87 Å³/cell
D(E_F)   0.596 states/eV/atom